# Pm7RhSe5, optimized geometry, DFT PBE
# Uncorrected formation energy ... -1910 kJ/mol of formula units
data_Pm7RhSe5
_chemical_formula_sum 'Pm28 Rh4 Se20'
_symmetry_space_group_name_H-M 'C m c 21'
_symmetry_Int_Tables_number 36
_cell_length_a 4.0538
_cell_length_b 13.8865
_cell_length_c 25.0280
_cell_angle_alpha 90.00
_cell_angle_beta 90.00
_cell_angle_gamma 90.00
loop_
_symmetry_equiv_pos_as_xyz
'x,y,z'
'-x,-y,z+1/2'
'-x,y,z'
'x,-y,z+1/2'
'x+1/2,y+1/2,z'
'-x+1/2,-y+1/2,z+1/2'
'-x+1/2,y+1/2,z'
'x+1/2,-y+1/2,z+1/2'
loop_
_atom_site_label
_atom_site_type_symbol
_atom_site_fract_x
_atom_site_fract_y
_atom_site_fract_z
Pm1 Pm 0.0000 0.0471 0.0000
Pm2 Pm 0.0000 0.1393 0.2874
Pm3 Pm 0.0000 0.1388 0.7126
Pm4 Pm 0.0000 0.2964 0.0691
Pm5 Pm 0.0000 0.2960 0.9309
Pm6 Pm 0.0000 0.4132 0.6378
Pm7 Pm 0.0000 0.4138 0.3618
Rh1 Rh 0.0000 0.3081 0.5003
Se1 Se 0.0000 0.0561 0.3950
Se2 Se 0.0000 0.0558 0.6050
Se3 Se 0.0000 0.2215 0.8217
Se4 Se 0.0000 0.2219 0.1783
Se5 Se 0.0000 0.5003 0.2499

# Pm6TeRh2Se3, optimized geometry, DFT PBE
# Uncorrected formation energy ... -1572 kJ/mol of formula units
data_Pm6TeRh2Se3
_chemical_formula_sum 'Pm12 Te2 Rh4 Se6'
_symmetry_space_group_name_H-M 'C 1 2/m 1'
_symmetry_Int_Tables_number 12
_cell_length_a 18.6348
_cell_length_b 4.1400
_cell_length_c 8.7608
_cell_angle_alpha 90.00
_cell_angle_beta 105.47
_cell_angle_gamma 90.00
loop_
_symmetry_equiv_pos_as_xyz
'x,y,z'
'-x,-y,-z'
'-x,y,-z'
'x,-y,z'
'x+1/2,y+1/2,z'
'-x+1/2,-y+1/2,-z'
'-x+1/2,y+1/2,-z'
'x+1/2,-y+1/2,z'
loop_
_atom_site_label
_atom_site_type_symbol
_atom_site_fract_x
_atom_site_fract_y
_atom_site_fract_z
Pm1 Pm 0.0115 0.0000 0.2715
Pm2 Pm 0.1730 0.5000 0.5772
Pm3 Pm 0.1762 0.5000 0.1156
Te1 Te 0.0000 0.5000 0.0000
Rh1 Rh 0.1703 0.0000 0.3409
Se1 Se 0.0000 0.5000 0.5000
Se2 Se 0.1588 0.0000 0.8413

# Pm4TeRhSe2, optimized geometry, DFT PBE
# Uncorrected formation energy ... -1078 kJ/mol of formula units
data_Pm4TeRhSe2
_chemical_formula_sum 'Pm4 Te1 Rh1 Se2'
_symmetry_space_group_name_H-M 'P 1 2/m 1'
_symmetry_Int_Tables_number 10
_cell_length_a 7.4339
_cell_length_b 4.1903
_cell_length_c 7.5108
_cell_angle_alpha 90.00
_cell_angle_beta 108.79
_cell_angle_gamma 90.00
loop_
_symmetry_equiv_pos_as_xyz
'x,y,z'
'-x,-y,-z'
'-x,y,-z'
'x,-y,z'
loop_
_atom_site_label
_atom_site_type_symbol
_atom_site_fract_x
_atom_site_fract_y
_atom_site_fract_z
Pm1 Pm 0.2337 0.0000 0.2220
Pm2 Pm 0.2583 0.5000 0.7702
Te1 Te 0.0000 0.0000 0.5000
Rh1 Rh 0.0000 0.5000 0.0000
Se1 Se 0.5000 0.0000 0.0000
Se2 Se 0.5000 0.5000 0.5000

# PmThRhSe, optimized geometry, DFT PBE
# Uncorrected formation energy ... -469 kJ/mol of formula units
data_PmThRhSe
_chemical_formula_sum 'Pm3 Th3 Rh3 Se3'
_symmetry_space_group_name_H-M 'R 3 m'
_symmetry_Int_Tables_number 160
_symmetry_space_group_name_Hall 'R 3 -2"'
_cell_length_a 4.0590
_cell_length_b 4.0590
_cell_length_c 22.4798
_cell_angle_alpha 90.00
_cell_angle_beta 90.00
_cell_angle_gamma 120.00
loop_
_atom_site_label
_atom_site_type_symbol
_atom_site_fract_x
_atom_site_fract_y
_atom_site_fract_z
Pm1 Pm 0.0000 0.0000 0.0000
Th1 Th 0.0000 0.0000 0.8126
Rh1 Rh 0.0000 0.0000 0.4121
Se1 Se 0.0000 0.0000 0.2401

# Pm4Si6Rh7, optimized geometry, DFT PBE
# Uncorrected formation energy ... -1562 kJ/mol of formula units
data_Pm4Si6Rh7
_chemical_formula_sum 'Pm8 Si12 Rh14'
_symmetry_space_group_name_H-M 'I m -3 m'
_symmetry_Int_Tables_number 229
_symmetry_space_group_name_Hall '-I 4 2 3'
_cell_length_a 8.4273
_cell_length_b 8.4273
_cell_length_c 8.4273
_cell_angle_alpha 90.00
_cell_angle_beta 90.00
_cell_angle_gamma 90.00
loop_
_atom_site_label
_atom_site_type_symbol
_atom_site_fract_x
_atom_site_fract_y
_atom_site_fract_z
Pm1 Pm 0.2500 0.2500 0.2500
Si1 Si 0.0000 0.0000 0.3365
Rh1 Rh 0.0000 0.0000 0.0000
Rh2 Rh 0.0000 0.2500 0.5000

# PmSi3Rh5, optimized geometry, DFT PBE
# Uncorrected formation energy ... -695 kJ/mol of formula units
data_PmSi3Rh5
_chemical_formula_sum 'Pm4 Si12 Rh20'
_symmetry_space_group_name_H-M 'C m c m'
_symmetry_Int_Tables_number 63
_symmetry_space_group_name_Hall '-C 2c 2'
_cell_length_a 3.9392
_cell_length_b 12.3251
_cell_length_c 12.2017
_cell_angle_alpha 90.00
_cell_angle_beta 90.00
_cell_angle_gamma 90.00
loop_
_atom_site_label
_atom_site_type_symbol
_atom_site_fract_x
_atom_site_fract_y
_atom_site_fract_z
Pm1 Pm 0.0000 0.1614 0.2500
Si1 Si 0.0000 0.1118 0.7500
Si2 Si 0.0000 0.3840 0.5404
Rh1 Rh 0.0000 0.0000 0.0000
Rh2 Rh 0.0000 0.2026 0.5740
Rh3 Rh 0.0000 0.4486 0.1440

# PmSi4Rh12, optimized geometry, DFT PBE
# Uncorrected formation energy ... -327 kJ/mol of formula units
data_PmSi4Rh12
_chemical_formula_sum 'Pm2 Si8 Rh24'
_symmetry_space_group_name_H-M 'I m -3'
_symmetry_Int_Tables_number 204
_symmetry_space_group_name_Hall '-I 2 2 3'
_cell_length_a 8.2232
_cell_length_b 8.2232
_cell_length_c 8.2232
_cell_angle_alpha 90.00
_cell_angle_beta 90.00
_cell_angle_gamma 90.00
loop_
_atom_site_label
_atom_site_type_symbol
_atom_site_fract_x
_atom_site_fract_y
_atom_site_fract_z
Pm1 Pm 0.0000 0.0000 0.0000
Si1 Si 0.2500 0.2500 0.2500
Rh1 Rh 0.0000 0.1568 0.3389

# Pm2Si3Rh5, optimized geometry, DFT PBE
# Uncorrected formation energy ... -831 kJ/mol of formula units
data_Pm2Si3Rh5
_chemical_formula_sum 'Pm8 Si12 Rh20'
_symmetry_space_group_name_H-M 'C m c 21'
_symmetry_Int_Tables_number 36
_cell_length_a 4.0768
_cell_length_b 24.8540
_cell_length_c 6.6146
_cell_angle_alpha 90.00
_cell_angle_beta 90.00
_cell_angle_gamma 90.00
loop_
_symmetry_equiv_pos_as_xyz
'x,y,z'
'-x,-y,z+1/2'
'-x,y,z'
'x,-y,z+1/2'
'x+1/2,y+1/2,z'
'-x+1/2,-y+1/2,z+1/2'
'-x+1/2,y+1/2,z'
'x+1/2,-y+1/2,z+1/2'
loop_
_atom_site_label
_atom_site_type_symbol
_atom_site_fract_x
_atom_site_fract_y
_atom_site_fract_z
Pm1 Pm 0.0000 0.0174 0.0000
Pm2 Pm 0.0000 0.3235 0.0140
Si1 Si 0.0000 0.1128 0.7568
Si2 Si 0.0000 0.2719 0.5254
Si3 Si 0.0000 0.4440 0.7936
Rh1 Rh 0.0000 0.1018 0.3474
Rh2 Rh 0.0000 0.2079 0.8202
Rh3 Rh 0.0000 0.2112 0.2306
Rh4 Rh 0.0000 0.3685 0.5260
Rh5 Rh 0.0000 0.4375 0.1599

# PmSi2Rh4, optimized geometry, DFT PBE
# Uncorrected formation energy ... -581 kJ/mol of formula units
data_PmSi2Rh4
_chemical_formula_sum 'Pm2 Si4 Rh8'
_symmetry_space_group_name_H-M 'P 42/m n m'
_symmetry_Int_Tables_number 136
_symmetry_space_group_name_Hall '-P 4n 2n'
_cell_length_a 7.6939
_cell_length_b 7.6939
_cell_length_c 3.7854
_cell_angle_alpha 90.00
_cell_angle_beta 90.00
_cell_angle_gamma 90.00
loop_
_atom_site_label
_atom_site_type_symbol
_atom_site_fract_x
_atom_site_fract_y
_atom_site_fract_z
Pm1 Pm 0.0000 0.0000 0.0000
Si1 Si 0.2279 0.2279 0.5000
Rh1 Rh 0.0752 0.6688 0.5000

# Pm2Si9Rh3, optimized geometry, DFT PBE
# Uncorrected formation energy ... -653 kJ/mol of formula units
data_Pm2Si9Rh3
_chemical_formula_sum 'Pm8 Si36 Rh12'
_symmetry_space_group_name_H-M 'C 1 2/c 1'
_symmetry_Int_Tables_number 15
_cell_length_a 12.1166
_cell_length_b 7.4718
_cell_length_c 10.9910
_cell_angle_alpha 90.00
_cell_angle_beta 111.94
_cell_angle_gamma 90.00
loop_
_symmetry_equiv_pos_as_xyz
'x,y,z'
'-x,-y,-z'
'-x,y,-z+1/2'
'x,-y,z+1/2'
'x+1/2,y+1/2,z'
'-x+1/2,-y+1/2,-z'
'-x+1/2,y+1/2,-z+1/2'
'x+1/2,-y+1/2,z+1/2'
loop_
_atom_site_label
_atom_site_type_symbol
_atom_site_fract_x
_atom_site_fract_y
_atom_site_fract_z
Pm1 Pm 0.1590 0.0849 0.2506
Si1 Si 0.0000 0.3781 0.2500
Si2 Si 0.0654 0.0665 0.9415
Si3 Si 0.0915 0.4114 0.0690
Si4 Si 0.1032 0.3227 0.7668
Si5 Si 0.2137 0.4226 0.4336
Rh1 Rh 0.1034 0.2503 0.5515
Rh2 Rh 0.2500 0.2500 0.0000

# Pm12SiRh6, optimized geometry, DFT PBE
# Uncorrected formation energy ... -879 kJ/mol of formula units
data_Pm12SiRh6
_chemical_formula_sum 'Pm36 Si3 Rh18'
_symmetry_space_group_name_H-M 'R -3'
_symmetry_Int_Tables_number 148
_symmetry_space_group_name_Hall '-R 3'
_cell_length_a 13.0429
_cell_length_b 13.0429
_cell_length_c 11.3656
_cell_angle_alpha 90.00
_cell_angle_beta 90.00
_cell_angle_gamma 120.00
loop_
_atom_site_label
_atom_site_type_symbol
_atom_site_fract_x
_atom_site_fract_y
_atom_site_fract_z
Pm1 Pm 0.0276 0.2120 0.3871
Pm2 Pm 0.0350 0.2131 0.8863
Si1 Si 0.0000 0.0000 0.0000
Rh1 Rh 0.0430 0.2594 0.6452

# Pm3Si4Rh7, optimized geometry, DFT PBE
# Uncorrected formation energy ... -1293 kJ/mol of formula units
data_Pm3Si4Rh7
_chemical_formula_sum 'Pm6 Si8 Rh14'
_symmetry_space_group_name_H-M 'C 1 2/m 1'
_symmetry_Int_Tables_number 12
_cell_length_a 15.3869
_cell_length_b 4.0512
_cell_length_c 9.3552
_cell_angle_alpha 90.00
_cell_angle_beta 125.36
_cell_angle_gamma 90.00
loop_
_symmetry_equiv_pos_as_xyz
'x,y,z'
'-x,-y,-z'
'-x,y,-z'
'x,-y,z'
'x+1/2,y+1/2,z'
'-x+1/2,-y+1/2,-z'
'-x+1/2,y+1/2,-z'
'x+1/2,-y+1/2,z'
loop_
_atom_site_label
_atom_site_type_symbol
_atom_site_fract_x
_atom_site_fract_y
_atom_site_fract_z
Pm1 Pm 0.0000 0.0000 0.0000
Pm2 Pm 0.1705 0.5000 0.6665
Si1 Si 0.1140 0.0000 0.8377
Si2 Si 0.1654 0.5000 0.2835
Rh1 Rh 0.0000 0.0000 0.5000
Rh2 Rh 0.0039 0.5000 0.2704
Rh3 Rh 0.1639 0.0000 0.4214
Rh4 Rh 0.1954 0.5000 0.0473

Which of these has the highest uncorrected formation energy?
PmSi4Rh12